DFT (GGA-PBE) results for a geometry-optimized Cr2GeC structure.

Cell: 2.8887 2.9186 6.4901 Å, 104.99 90.00 119.66°
With the nearest neighbours (Å) after each atom.
Atoms (fractional coordinates):
1 Ge 0.5000 0.5000 0.0000  6 Cr 2.63-2.75, 6 Ge 2.89-2.92
2 Cr 0.7297 0.9594 0.6656  3 C 1.96-1.98
3 Cr 0.2703 0.0406 0.3345  3 C 1.96-1.98
4 C 0.0000 0.5000 0.5000  6 Cr 1.96-1.98

## Properties
- density of states at the Fermi level (states/eV per cell) = 4.1
- total magnetic moment (μB per formula unit) = 0.00
- ΔE to the lowest computed polymorph (eV per atom) = 0.012
- final energy (eV per cell) = -33.40

DFT (GGA-PBE) results for a geometry-optimized CrGeC3 structure.

Cell: 3.9226 3.9226 3.9226 Å, 90.00 90.00 90.00°
With the nearest neighbours (Å) after each atom.
Atoms (fractional coordinates):
1 Cr 0.5000 0.5000 0.5000  12 C 2.77
2 C 0.5000 0.0000 0.0000  2 Ge 1.96
3 C 0.0000 0.5000 0.0000  2 Ge 1.96
4 C 0.0000 0.0000 0.5000  2 Ge 1.96
5 Ge 0.0000 0.0000 0.0000  6 C 1.96

## Properties
- density of states at the Fermi level (states/eV per cell) = 3.3
- total magnetic moment (μB per formula unit) = 3.45
- ΔE to the lowest computed polymorph (eV per atom) = 0.764
- final energy (eV per cell) = -29.06

Per-record formation energy from the elements, eV per atom: -0.078 2.569